Entry 1:
LaSb2H2 (GGA-PBE, optimized geometry); relative energy among the computed polymorphs = 311 meV/atom
1.0
-0.9934 4.0124 -1.2705
-3.9065 -0.3933 1.8125
-0.6258 3.6312 4.5979
Sb H La
2 2 1
direct
0.3465 0.3465 0.3071
0.6535 0.6535 0.6929
0.7500 0.2500 0.5000
0.2500 0.7500 0.5000
0.0000 0.0000 0.0000



Entry 2:
La2SbH2 (GGA-PBE, optimized geometry); relative energy among the computed polymorphs = 0 meV/atom
1.0
-0.8811 2.2168 -3.3279
1.9538 -2.7346 -2.3389
-4.7531 -3.4294 -3.5450
Sb H La
1 2 2
direct
0.0000 0.0000 0.0000
0.7500 0.2500 0.5000
0.2500 0.7500 0.5000
0.3582 0.3582 0.2837
0.6418 0.6418 0.7163



Entry 3:
La4SbH2 (GGA-PBE, optimized geometry); total energy = -34.22 eV per formula unit
1.0
-2.9924 -2.4239 1.6672
5.8791 -2.3713 1.8233
-0.2394 7.8366 10.9638
La Sb H
8 2 4
direct
0.7816 0.5632 0.1001
0.7816 0.5632 0.3999
0.2184 0.4368 0.8999
0.2184 0.4368 0.6001
0.9108 0.8216 0.7500
0.0892 0.1784 0.2500
0.5000 0.0000 0.0000
0.5000 0.0000 0.5000
0.6119 0.2238 0.7500
0.3881 0.7762 0.2500
0.1435 0.2869 0.4300
0.8565 0.7131 0.9300
0.1435 0.2869 0.0700
0.8565 0.7131 0.5700



Entry 4:
LaSbH2 (GGA-PBE, optimized geometry); relative energy among the computed polymorphs = 242 meV/atom
1.0
0.0000 3.2116 3.2116
3.2116 0.0000 3.2116
3.2116 3.2116 0.0000
Sb H La
1 2 1
direct
0.0000 0.0000 0.0000
0.2500 0.2500 0.2500
0.7500 0.7500 0.7500
0.5000 0.5000 0.5000



no.,total magnetic moment (μB/f.u.)
1,0.00
2,0.00
3,0.62
4,0.00